Compound: MgPaTl2
Source: Alexandria via LeMat-Bulk
Functional: PBE
Structure: optimized geometry

CIF file:
```
data_MgPaTl2
_symmetry_space_group_name_H-M 'P 1'
_symmetry_Int_Tables_number 1
_cell_length_a 5.2507
_cell_length_b 5.2507
_cell_length_c 5.2507
_cell_angle_alpha 60.00
_cell_angle_beta 60.00
_cell_angle_gamma 60.00
loop_
_symmetry_equiv_pos_as_xyz
'x,y,z'
loop_
_atom_site_label
_atom_site_type_symbol
_atom_site_fract_x
_atom_site_fract_y
_atom_site_fract_z
_atom_site_occupancy
Tl1 Tl 0.2500 0.2500 0.2500 1
Tl2 Tl 0.7500 0.7500 0.7500 1
Pa1 Pa 0.5000 0.5000 0.5000 1
Mg1 Mg 0.0000 0.0000 0.0000 1
```

Results
Calculated volume, Å³ per cell: 102
Energy above the most stable polymorph in this dataset, eV/f.u.: 0.18
Electronic total energy, eV/f.u.: -15.2
Total moment, μB/f.u.: 0.7
Formation enthalpy at 0 K, eV/atom: 0.159
DOS at the Fermi energy, states/eV per cell: 3.8